(1)
A relaxed structure of LiSmTiIr, computed with GGA-PBE.

Cell lengths 4.7305, 4.7305, 4.7305 Å; angles 60.00, 60.00, 60.00 degrees
Last column: magnetic moment on the atom in μB.
Positions (direct):
Ir 0.0000 0.0000 0.0000  -0.07
Li 0.5000 0.5000 0.5000  0.00
Ti 0.2500 0.2500 0.2500  0.43
Sm 0.7500 0.7500 0.7500  0.03

N(E_F), states/eV per cell: 2.87
Final energy, eV per cell: -24.523
DFT formation energy, eV per atom: -0.284
Space group: F-43m

(2)
A relaxed structure of BaLaCl, computed with GGA-PBE.

Cell lengths 8.6495, 8.2321, 3.9777 Å; angles 82.30, 70.59, 27.11 degrees
Positions (direct):
Cl 0.3266 0.3266 0.6734
Ba 0.9860 0.9860 0.0140
La 0.6874 0.6874 0.3126

N(E_F), states/eV per cell: 3.01
Raw formation energy, eV/atom: -0.8888
Final energy, eV per cell: -11.363
Offset from the most stable computed form, eV per formula unit: 0.16
Space group: Fmm2

(3)
A relaxed structure of La6Pr2Nd, computed with GGA-PBE.

Cell lengths 7.6486, 7.6486, 7.6486 Å; angles 116.09, 116.09, 96.93 degrees
Positions (direct):
Pr 0.2500 0.7500 0.5000
La 0.6984 0.6984 0.0000
Nd 0.0000 0.0000 0.0000
La 0.7346 0.7346 0.4691
Pr 0.7500 0.2500 0.5000
La 0.3016 0.3016 0.0000
La 0.2654 0.7346 0.0000
La 0.7346 0.2654 0.0000
La 0.2654 0.2654 0.5309

N(E_F), states/eV per cell: 11.20
Final energy, eV per cell: -41.920
Offset from the most stable computed form, eV per formula unit: 1.87
DFT formation energy, eV per atom: 0.219
Space group: I4/mmm

(4)
A relaxed structure of MgBeZn2O4, computed with GGA-PBE.

Cell lengths 4.4426, 4.4425, 5.3688 Å; angles 114.42, 114.42, 90.04 degrees
Positions (direct):
O 0.1689 0.1690 0.7793
Mg 0.0003 0.0003 0.0005
O 0.8308 0.3897 0.2206
Zn 0.2501 0.7501 0.5002
O 0.6104 0.6105 0.7794
Zn 0.7501 0.2501 0.5002
Be 0.5000 0.4999 0.9999
O 0.3898 0.8308 0.2206

N(E_F), states/eV per cell: 0.00
Raw formation energy, eV/atom: -2.0197
Final energy, eV per cell: -43.859
Space group: I-42m

(5)
A relaxed structure of SiAsS3, computed with GGA-PBE.

Cell lengths 4.4893, 4.4893, 4.4893 Å; angles 90.00, 90.00, 90.00 degrees
Positions (direct):
S 0.0000 0.0000 0.5000
Si 0.0000 0.0000 0.0000
S 0.5000 0.0000 0.0000
S 0.0000 0.5000 0.0000
As 0.5000 0.5000 0.5000

N(E_F), states/eV per cell: 2.75
Raw formation energy, eV/atom: 0.4113
Final energy, eV per cell: -20.398
Offset from the most stable computed form, eV per formula unit: 3.94
Space group: Pm-3m

(6)
A relaxed structure of PmSm4Y, computed with GGA-PBE.

Cell lengths 7.0180, 7.0180, 9.7464 Å; angles 90.00, 90.00, 120.95 degrees
Positions (direct):
Sm 0.3435 0.6565 0.0726
Y 0.0000 0.0000 0.5000
Pm 0.8204 0.1796 0.2500
Sm 0.6565 0.3435 0.9274
Y 0.0000 0.0000 0.0000
Sm 0.6336 0.8377 0.7500
Sm 0.6565 0.3435 0.5726
Pm 0.1796 0.8204 0.7500
Sm 0.1623 0.3664 0.7500
Sm 0.3664 0.1623 0.2500
Sm 0.8377 0.6336 0.2500
Sm 0.3435 0.6565 0.4274

N(E_F), states/eV per cell: 17.94
Final energy, eV per cell: -57.296
Offset from the most stable computed form, eV per formula unit: 1.36
DFT formation energy, eV per atom: 0.241
Space group: Cmcm

(7)
A relaxed structure of Tb2SiPd2Pt4, computed with GGA-PBE.

Cell lengths 6.1221, 6.1221, 6.1221 Å; angles 90.68, 119.61, 119.61 degrees
Positions (direct):
Pd 0.0000 0.2724 0.2724
Tb 0.5000 0.2500 0.7500
Pt 0.5360 0.2680 0.2680
Pt 0.4640 0.7320 0.7320
Pd 0.0000 0.7276 0.7276
Pt 0.0000 0.2680 0.7320
Pt 0.0000 0.7320 0.2680
Si 0.0000 0.0000 0.0000
Tb 0.5000 0.7500 0.2500

N(E_F), states/eV per cell: 4.48
Raw formation energy, eV/atom: -0.9890
Final energy, eV per cell: -58.134
Space group: I4/mmm

(8)
A relaxed structure of Li3Tb3HfS8, computed with GGA-PBE.

Cell lengths 7.7900, 7.7901, 7.6296 Å; angles 120.71, 90.00, 120.00 degrees
Positions (direct):
S 0.7639 0.5278 0.2600
Tb 0.5000 0.5000 0.5000
S 0.2320 0.9959 0.2600
S 0.7680 0.0041 0.7400
Li 0.0000 0.5000 0.0000
Tb 0.5000 0.0000 0.5000
S 0.2361 0.4722 0.7400
S 0.7639 0.9959 0.2600
Li 0.0000 0.0000 0.0000
S 0.2493 0.4987 0.2481
Hf 0.0000 0.0000 0.5000
Tb 0.0000 0.5000 0.5000
Li 0.5000 0.5000 0.0000
S 0.7507 0.5013 0.7519
S 0.2361 0.0041 0.7400

N(E_F), states/eV per cell: 0.00
Raw formation energy, eV/atom: -1.7960
Final energy, eV per cell: -89.545
Space group: R-3m